# AlRuW

AlRuW after structural relaxation (GGA-PBE, Alexandria via LeMat-Bulk).

```
AlRuW
1.0
2.143 -6.650 0.000
2.143 6.650 0.000
0.000 0.000 3.087
Al Ru W
2 2 2
direct
0.173 0.827 0.000 Al
0.827 0.173 0.000 Al
0.334 0.666 0.500 Ru
0.666 0.334 0.500 Ru
0.000 0.000 0.500 W
0.500 0.500 0.000 W
```

Calculated total energy in eV per atom: -8.959
Magnetic moment in μB/f.u.: 0.0
Energy of formation from the pure elements in kJ/mol of atoms: -29
Density in g/cm³: 11.77
Energy above the most stable polymorph in this dataset in eV per atom: 0.101
Space-group type: Cmmm